# YW2Br

An optimized crystal structure of YW2Br (PBE-GGA, Alexandria).

Lattice parameters (Å, degrees): 5.6550 5.6550 3.0137 90.00 90.00 123.66
Fractional positions:
1 Y 0.5000 0.0000 0.5000
2 Br 0.0000 0.5000 0.5000
3 W 0.0000 0.0000 0.0000
4 W 0.5000 0.5000 0.0000

Output
Total magnetic moment ... 0.000 μB/cell
Energy relative to the lowest polymorph listed for this composition ... 862 meV per atom
Formation energy from raw total energies ... 946.0 meV per atom
E_tot ... -7.565 eV/atom
SG ... Cmmm, No. 65
D(E_F) ... 2.28 states/eV/f.u.



# YW2Br

An optimized crystal structure of YW2Br (PBE-GGA, Alexandria).

Lattice parameters (Å, degrees): 2.9569 2.9569 9.0834 90.00 90.00 90.00
Fractional positions:
1 Y 0.5000 0.5000 0.2500
2 Br 0.5000 0.5000 0.7500
3 W 0.0000 0.0000 0.9819
4 W 0.0000 0.0000 0.5181

Output
Total magnetic moment ... 0.000 μB/cell
Energy relative to the lowest polymorph listed for this composition ... 1021 meV per atom
Formation energy from raw total energies ... 1105.0 meV per atom
E_tot ... -7.406 eV/atom
SG ... P4/mmm, No. 123
D(E_F) ... 3.32 states/eV/f.u.